Compound: Li2GeSbH
Source: the Alexandria database
Functional: PBE
Structure: optimized geometry

For the raw total energy, the calculation gives -3.4162 eV/atom. Its crystal system is tetragonal.

It has space group P4/mmm (No. 123), with a = 4.260 Å, b = 4.260 Å, c = 4.356 Å, α = 90.00°, β = 90.00° and γ = 90.00°. The asymmetric unit holds Li at (0.000, 0.500, 0.000), Ge at (0.000, 0.000, 0.500), Sb at (0.500, 0.500, 0.500) and H at (0.000, 0.000, 0.000).